Here is a geometry-optimized MgSn6Hg structure from Alexandria. Energies are from GGA-PBE.

POSCAR file:
```
MgSn6Hg
1.0
4.538 0.000 0.000
0.000 4.538 0.000
0.000 0.000 10.339
Sn Hg Mg
6 1 1
Cartesian
0.000 2.269 7.660
0.000 2.269 2.678
2.269 2.269 0.000
2.269 0.000 7.660
2.269 0.000 2.678
2.269 2.269 5.169
0.000 0.000 0.000
0.000 0.000 5.169
```

=====

Here is a geometry-optimized Mg2SnHg2 structure from Alexandria. Energies are from GGA-PBE.

Polymorph energy (0 for the lowest one), eV per atom: 0.0530

POSCAR file:
```
Mg2SnHg2
1.0
-4.393 -2.248 0.748
3.119 -1.718 -3.498
4.897 -6.977 7.794
Mg Sn Hg
4 2 4
Cartesian
1.839 -3.639 -0.134
0.000 0.000 0.000
2.448 -3.488 3.897
1.783 -7.304 5.178
3.673 -5.233 5.845
1.224 -1.744 1.948
-1.467 -2.673 0.004
3.486 -5.985 2.486
0.137 -4.959 2.558
5.090 -8.270 5.039
```

=====

Here is a geometry-optimized Mg2Sn2Hg3 structure from Alexandria. Energies are from GGA-PBE.

POSCAR file:
```
Mg2Sn2Hg3
1.0
1.872 -13.312 0.000
1.872 13.312 0.000
0.000 0.000 3.373
Sn Hg Mg
2 3 2
Cartesian
1.872 -5.364 1.687
1.872 5.364 1.687
0.000 0.000 0.000
1.872 9.923 0.000
1.872 -9.923 0.000
1.872 1.717 1.687
1.872 -1.717 1.687
```

=====

Here is a geometry-optimized MgSnHg2 structure from Alexandria. Energies are from GGA-PBE.

POSCAR file:
```
MgSnHg2
1.0
4.493 0.000 0.000
0.000 4.493 0.000
2.247 2.247 10.245
Sn Hg Mg
2 4 2
Cartesian
4.493 2.247 5.122
0.000 0.000 0.000
1.199 3.370 2.561
3.370 3.446 7.683
5.616 5.540 7.683
3.294 1.123 2.561
2.247 2.247 0.000
2.247 4.493 5.122
```

=====

Here is a geometry-optimized Mg2SnHg2 structure from Alexandria. Energies are from GGA-PBE.

Polymorph energy (0 for the lowest one), eV per atom: 0.0332

POSCAR file:
```
Mg2SnHg2
1.0
8.209 0.000 0.000
0.000 8.209 0.000
0.000 0.000 3.508
Mg Sn Hg
4 2 4
Cartesian
2.936 7.041 0.000
5.272 1.168 0.000
1.168 2.936 0.000
7.041 5.272 0.000
4.104 4.104 0.000
0.000 0.000 0.000
1.283 5.388 1.754
2.821 1.283 1.754
5.388 6.926 1.754
6.926 2.821 1.754
```

=====

Here is a geometry-optimized Mg2SnHg3 structure from Alexandria. Energies are from GGA-PBE.

POSCAR file:
```
Mg2SnHg3
1.0
-3.313 0.327 -0.400
-0.429 -0.295 3.313
1.053 12.151 1.220
Sn Hg Mg
1 3 2
Cartesian
-1.345 6.092 2.067
0.728 8.409 0.844
0.324 3.742 0.376
0.000 0.000 0.000
-0.984 10.257 2.485
-1.706 1.926 1.648
```

=====

Here is a geometry-optimized MgSn2Hg structure from Alexandria. Energies are from GGA-PBE.

Polymorph energy (0 for the lowest one), eV per atom: 0.0805

POSCAR file:
```
MgSn2Hg
1.0
0.000 3.709 3.709
3.709 0.000 3.709
3.709 3.709 0.000
Sn Hg Mg
2 1 1
Cartesian
1.855 1.855 1.855
5.564 5.564 5.564
3.709 3.709 3.709
0.000 0.000 0.000
```

=====

Here is a geometry-optimized Mg2SnHg2 structure from Alexandria. Energies are from GGA-PBE.

Polymorph energy (0 for the lowest one), eV per atom: 0.0112

POSCAR file:
```
Mg2SnHg2
1.0
3.256 0.085 -0.273
-0.261 4.563 -1.691
0.686 0.307 7.744
Sn Hg Mg
1 2 2
Cartesian
1.628 0.043 -0.136
2.056 1.904 4.821
1.625 3.051 0.960
3.424 1.020 2.223
0.257 3.935 3.558
```

=====

Here is a geometry-optimized MgSn2Hg2 structure from Alexandria. Energies are from GGA-PBE.

Polymorph energy (0 for the lowest one), eV per atom: 0.0406

POSCAR file:
```
MgSn2Hg2
1.0
4.478 0.000 0.000
0.000 6.289 0.000
-2.239 0.000 8.970
Hg Sn Mg
4 4 2
Cartesian
0.000 2.165 3.489
0.000 3.663 7.264
2.239 5.309 5.481
2.239 0.518 1.706
0.000 5.276 3.356
2.239 2.132 5.614
0.000 5.101 0.107
2.239 1.957 8.863
2.239 3.506 1.805
0.000 0.361 7.165
```

=====

Here is a geometry-optimized Mg14SnHg structure from Alexandria. Energies are from GGA-PBE.

POSCAR file:
```
Mg14SnHg
1.0
-4.256 2.778 -3.838
3.452 -1.719 -5.070
-4.572 -7.698 -0.503
Mg Sn Hg
14 1 1
Cartesian
-3.911 -5.084 -5.912
-0.704 0.927 -7.794
-3.514 -5.607 -1.518
-0.302 0.397 -3.340
0.439 -2.667 -3.772
-5.614 -4.236 -3.411
-1.662 -1.297 -5.665
-1.811 -6.455 -4.019
-1.265 -1.819 -1.271
-3.365 -0.448 -3.164
-0.862 -4.311 -6.126
-2.430 1.787 -5.259
-4.716 -2.063 -5.511
1.424 -0.462 -5.875
-2.990 -2.922 -8.045
-2.588 -3.452 -3.592
```

=====

Here is a geometry-optimized Mg3Sn2Hg structure from Alexandria. Energies are from GGA-PBE.

POSCAR file:
```
Mg3Sn2Hg
1.0
-2.750 1.950 -0.878
-1.262 -0.325 3.231
5.690 9.456 3.175
Sn Mg Hg
2 3 1
Cartesian
-1.010 2.469 1.732
2.687 8.612 3.795
0.000 0.000 0.000
1.990 3.307 1.110
3.700 6.149 2.064
0.839 5.540 2.763
```

=====

Here is a geometry-optimized Mg5SnHg structure from Alexandria. Energies are from GGA-PBE.

POSCAR file:
```
Mg5SnHg
1.0
-2.986 2.455 -4.362
-3.660 -4.495 0.599
-7.621 4.299 4.988
Mg Hg Sn
10 2 2
Cartesian
-6.465 1.130 3.444
-9.278 -0.260 3.619
-6.549 2.602 0.380
-2.955 -1.780 -0.521
-7.803 1.129 -2.219
-4.989 2.519 -2.393
-2.404 1.555 -0.888
-11.863 0.703 2.113
-7.719 -0.343 0.845
-11.313 4.039 1.746
0.000 0.000 0.000
-3.810 2.150 2.494
-9.040 2.190 1.870
-5.227 0.069 -0.645
```

=====

Here is a geometry-optimized MgSn2Hg2 structure from Alexandria. Energies are from GGA-PBE.

Polymorph energy (0 for the lowest one), eV per atom: 0.1778

POSCAR file:
```
MgSn2Hg2
1.0
4.244 0.000 0.000
0.000 4.244 0.000
2.122 2.122 7.637
Sn Hg Mg
2 2 1
Cartesian
2.122 2.122 1.507
4.244 4.244 6.130
2.122 4.244 3.819
4.244 2.122 3.819
0.000 0.000 0.000
```

=====

Here is a geometry-optimized Mg5Sn2Hg structure from Alexandria. Energies are from GGA-PBE.

POSCAR file:
```
Mg5Sn2Hg
1.0
4.892 0.000 0.000
-2.446 8.344 0.000
0.000 0.000 12.678
Mg Sn Hg
10 4 2
Cartesian
0.000 0.422 1.614
0.000 0.422 4.725
2.446 3.641 7.283
2.446 4.676 3.169
0.000 3.668 9.508
2.446 7.921 7.953
0.000 4.702 0.944
2.446 3.641 11.734
0.000 4.702 5.395
2.446 7.921 11.063
0.000 2.222 6.975
2.446 6.122 5.703
0.000 2.222 12.042
2.446 6.122 0.636
0.000 2.811 3.169
2.446 5.532 9.508
```

=====

Here is a geometry-optimized Mg7Sn2Hg3 structure from Alexandria. Energies are from GGA-PBE.

POSCAR file:
```
Mg7Sn2Hg3
1.0
5.067 0.000 0.000
0.000 5.211 0.000
0.000 -2.606 11.148
Mg Sn Hg
7 2 3
Cartesian
0.000 2.606 1.651
2.534 2.606 9.403
2.534 0.000 1.745
0.000 0.000 6.319
0.000 2.606 4.829
0.000 0.000 9.497
0.000 0.000 0.000
0.000 0.000 3.326
0.000 2.606 7.822
2.534 2.606 3.452
2.534 2.606 0.000
2.534 0.000 7.696
```

=====

Here is a geometry-optimized MgSn2Hg2 structure from Alexandria. Energies are from GGA-PBE.

Polymorph energy (0 for the lowest one), eV per atom: 0.0000

POSCAR file:
```
MgSn2Hg2
1.0
3.351 0.000 -0.538
-0.086 3.350 -0.538
0.034 0.035 10.923
Sn Hg Mg
2 2 1
Cartesian
0.651 0.668 4.056
2.648 2.717 5.792
1.921 1.971 1.262
1.378 1.414 8.587
0.000 0.000 0.000
```

=====

Here is a geometry-optimized MgSnHg2 structure from Alexandria. Energies are from GGA-PBE.

POSCAR file:
```
MgSnHg2
1.0
-3.093 2.905 0.383
-2.757 -3.217 2.137
1.746 1.303 4.216
Sn Hg Mg
1 2 1
Cartesian
-1.547 1.453 0.192
-1.379 -1.609 1.068
0.873 0.652 2.108
-2.052 0.496 3.368
```

=====

Here is a geometry-optimized Mg2SnHg4 structure from Alexandria. Energies are from GGA-PBE.

POSCAR file:
```
Mg2SnHg4
1.0
-0.889 4.952 -3.776
-4.541 -1.459 -0.757
1.549 5.375 11.443
Mg Hg Sn
4 8 2
Cartesian
-3.430 5.416 3.018
-2.443 8.204 7.100
-1.438 0.664 -0.190
-0.451 3.453 3.891
-2.353 3.066 1.210
-0.722 5.623 1.826
-2.974 5.743 -0.358
-3.158 3.246 5.083
-1.528 5.803 5.700
-4.026 0.103 1.063
0.145 8.765 5.847
-0.907 3.125 7.268
-1.930 3.114 -1.931
-1.951 5.754 8.840
```

=====

Here is a geometry-optimized Mg6Sn2Hg structure from Alexandria. Energies are from GGA-PBE.

POSCAR file:
```
Mg6Sn2Hg
1.0
-3.397 2.975 -1.276
-0.085 -3.791 -8.610
-6.483 -6.204 2.796
Hg Mg Sn
2 12 4
Cartesian
-1.741 -0.408 -4.943
-3.241 -3.102 1.398
-6.074 -4.458 -2.855
-3.104 -4.200 -1.530
-1.095 -1.140 0.251
-5.819 -2.951 -0.018
-8.031 -5.196 0.637
-6.861 -2.821 -5.561
-3.892 -2.563 -4.235
-8.870 -5.881 -7.341
-9.067 -4.803 -4.310
-0.898 -2.218 -2.780
-1.935 -1.825 -7.727
-4.147 -4.070 -7.073
-3.644 -1.125 -1.553
-4.771 -0.949 -6.760
-5.195 -6.072 -0.330
-6.322 -5.896 -5.537
```

=====

Here is a geometry-optimized Mg6SnHg6 structure from Alexandria. Energies are from GGA-PBE.

POSCAR file:
```
Mg6SnHg6
1.0
-3.222 -5.268 0.238
6.178 -0.147 -0.012
0.027 0.409 9.414
Mg Hg Sn
6 6 1
Cartesian
-0.074 -3.356 4.862
3.057 -1.650 4.779
0.018 0.272 6.264
0.009 0.137 3.151
-0.088 -3.560 0.155
3.044 -1.854 0.072
3.096 0.029 2.364
3.109 0.232 7.038
-1.590 -2.328 7.163
1.485 -2.604 2.482
-1.604 -2.531 2.489
1.498 -2.402 7.159
0.000 0.000 0.000
```

=====

Spin magnetization per entry: 0.00, 0.00, 0.00, 0.00, 0.00, 0.00, 0.00, 0.00, 0.00, 0.00, 0.00, 0.00, 0.00, 0.00, 0.00, 0.00, 0.00, 0.00, 0.00, 0.00 μB/cell
Final energy per entry: -25.75, -16.36, -12.72, -12.46, -16.56, -8.81, -9.73, -8.39, -20.49, -27.40, -13.98, -25.59, -9.56, -31.47, -21.16, -10.45, -6.41, -17.72, -38.03, -16.11 eV per cell